Co3CuF: relaxed, GGA+U.

energy above the most stable polymorph in this dataset: 0.00 eV per formula unit
final energy: -19.25 eV/cell

Lattice parameters (Å, degrees): 4.091 4.091 4.091 90.00 90.00 90.00
Site moments in Bohr magnetons follow the coordinates.
Element x y z (fractional)
Co1 0.000 0.500 0.000  2.10
Co2 0.000 0.000 0.500  1.95
Co3 0.500 0.000 0.000  2.06
Cu1 0.500 0.500 0.500  0.01
F1 0.000 0.000 0.000  0.04